# PBE Dy2PaTl2Se6, relaxed
data_Dy2PaTl2Se6
_chemical_formula_sum 'Dy4 Pa2 Tl4 Se12'
_symmetry_space_group_name_H-M 'C 1 2/m 1'
_symmetry_Int_Tables_number 12
_symmetry_space_group_name_Hall '-C 2y'
_cell_length_a 7.2095
_cell_length_b 12.4911
_cell_length_c 8.2170
_cell_angle_alpha 90.00
_cell_angle_beta 107.15
_cell_angle_gamma 90.00
loop_
_atom_site_label
_atom_site_fract_x
_atom_site_fract_y
_atom_site_fract_z
_atom_site_occupancy
Dy1 0.0000 0.1669 0.0000 1
Pa1 0.0000 0.5000 0.0000 1
Tl1 0.0000 0.3330 0.5000 1
Se1 0.2324 0.3344 0.2020 1
Se2 0.2379 0.0000 0.2026 1
# Formation energy from raw total energies = -1.382 eV per atom
# Total energy = -5.41 eV/atom
# Theoretical density = 6.8 g cm⁻³

---

# PBE Dy3PaTl4Se8, relaxed
data_Dy3PaTl4Se8
_chemical_formula_sum 'Dy9 Pa3 Tl12 Se24'
_symmetry_space_group_name_H-M 'R -3 m'
_symmetry_Int_Tables_number 166
_symmetry_space_group_name_Hall '-R 3 2"'
_cell_length_a 8.3483
_cell_length_b 8.3483
_cell_length_c 23.5718
_cell_angle_alpha 90.00
_cell_angle_beta 90.00
_cell_angle_gamma 120.00
loop_
_atom_site_label
_atom_site_fract_x
_atom_site_fract_y
_atom_site_fract_z
_atom_site_occupancy
Dy1 0.0000 0.5000 0.0000 1
Pa1 0.0000 0.0000 0.0000 1
Tl1 0.0000 0.0000 0.5000 1
Tl2 0.0000 0.5000 0.5000 1
Se1 0.0000 0.0000 0.2660 1
Se2 0.9997 0.4998 0.2649 1
# Formation energy from raw total energies = -1.260 eV per atom
# Total energy = -5.05 eV/atom
# Theoretical density = 7.6 g cm⁻³

---

# PBE Dy2PaTl3Se6, relaxed
data_Dy2PaTl3Se6
_chemical_formula_sum 'Dy4 Pa2 Tl6 Se12'
_symmetry_space_group_name_H-M 'C 1 2/m 1'
_symmetry_Int_Tables_number 12
_symmetry_space_group_name_Hall '-C 2y'
_cell_length_a 7.2198
_cell_length_b 12.5010
_cell_length_c 8.2586
_cell_angle_alpha 90.00
_cell_angle_beta 106.92
_cell_angle_gamma 90.00
loop_
_atom_site_label
_atom_site_fract_x
_atom_site_fract_y
_atom_site_fract_z
_atom_site_occupancy
Dy1 0.0000 0.1664 0.0000 1
Pa1 0.0000 0.5000 0.0000 1
Tl1 0.0000 0.0000 0.5000 1
Tl2 0.0000 0.3322 0.5000 1
Se1 0.2340 0.3338 0.2034 1
Se2 0.2358 0.0000 0.2044 1
# Formation energy from raw total energies = -1.221 eV per atom
# Total energy = -5.11 eV/atom
# Theoretical density = 7.7 g cm⁻³